[1]
PBE-GGA K2Hg3Cl8, optimized geometry; energy relative to the lowest polymorph listed for this composition = 0.0000 eV per atom; size of the total moment = 0.00 μB/cell; DOS(E_F) = 0.0 states/eV per cell; E_tot = -0.177 Ry/atom
1.0
7.1121 -4.9527 0.0000
7.1121 4.9527 0.0000
-1.5565 0.0000 6.3835
K Hg Cl
2 3 8
Direct
0.2146 0.2146 0.0161 K
0.7854 0.7854 0.9839 K
0.1985 0.8015 0.5000 Hg
0.5000 0.5000 0.0000 Hg
0.8015 0.1985 0.5000 Hg
0.1054 0.1054 0.3800 Cl
0.1604 0.6136 0.1793 Cl
0.3679 0.3679 0.7078 Cl
0.3864 0.8396 0.8207 Cl
0.6136 0.1604 0.1793 Cl
0.6321 0.6321 0.2922 Cl
0.8396 0.3864 0.8207 Cl
0.8946 0.8946 0.6200 Cl

---

[2]
PBE-GGA KHgCl4, optimized geometry; energy relative to the lowest polymorph listed for this composition = 0.0000 eV per atom; size of the total moment = 0.00 μB/cell; DOS(E_F) = 5.2 states/eV per cell; E_tot = -0.170 Ry/atom
1.0
7.2547 -3.5343 0.0000
7.2547 3.5343 0.0000
-2.8624 0.0000 7.1532
K Hg Cl
2 2 8
Direct
0.2145 0.7855 0.7500 K
0.7855 0.2145 0.2500 K
0.0000 0.5000 0.0000 Hg
0.5000 0.0000 0.5000 Hg
0.0883 0.2347 0.7102 Cl
0.2347 0.0883 0.2102 Cl
0.3144 0.5008 0.0095 Cl
0.4992 0.6856 0.4905 Cl
0.5008 0.3144 0.5095 Cl
0.6856 0.4992 0.9905 Cl
0.7653 0.9117 0.7898 Cl
0.9117 0.7653 0.2898 Cl

---

[3]
PBE-GGA K2HgCl, optimized geometry; energy relative to the lowest polymorph listed for this composition = 0.1815 eV per atom; size of the total moment = 0.00 μB/cell; DOS(E_F) = 17.2 states/eV per cell; E_tot = -0.140 Ry/atom
1.0
8.3186 0.0000 0.0000
0.0000 8.3186 0.0000
0.0000 0.0000 8.3186
K Hg Cl
8 4 4
Direct
0.2500 0.2500 0.2500 K
0.2500 0.2500 0.7500 K
0.2500 0.7500 0.2500 K
0.2500 0.7500 0.7500 K
0.7500 0.2500 0.2500 K
0.7500 0.2500 0.7500 K
0.7500 0.7500 0.2500 K
0.7500 0.7500 0.7500 K
0.0000 0.0000 0.0000 Hg
0.0000 0.5000 0.5000 Hg
0.5000 0.0000 0.5000 Hg
0.5000 0.5000 0.0000 Hg
0.0000 0.0000 0.5000 Cl
0.0000 0.5000 0.0000 Cl
0.5000 0.0000 0.0000 Cl
0.5000 0.5000 0.5000 Cl

---

[4]
PBE-GGA K2Hg3Cl8, optimized geometry; energy relative to the lowest polymorph listed for this composition = 0.0021 eV per atom; size of the total moment = 0.00 μB/cell; DOS(E_F) = 0.0 states/eV per cell; E_tot = -0.177 Ry/atom
1.0
7.7808 -4.6852 0.0000
7.7808 4.6852 0.0000
-2.7216 0.0000 6.0970
K Hg Cl
2 3 8
Direct
0.2200 0.2200 0.1299 K
0.7800 0.7800 0.8701 K
0.2072 0.7928 0.5000 Hg
0.5000 0.5000 0.0000 Hg
0.7928 0.2072 0.5000 Hg
0.1013 0.1013 0.4153 Cl
0.1627 0.6067 0.1347 Cl
0.3862 0.3862 0.6349 Cl
0.3933 0.8373 0.8653 Cl
0.6067 0.1627 0.1347 Cl
0.6138 0.6138 0.3651 Cl
0.8373 0.3933 0.8653 Cl
0.8987 0.8987 0.5847 Cl

---

[5]
PBE-GGA K2HgCl, optimized geometry; energy relative to the lowest polymorph listed for this composition = 0.0053 eV per atom; size of the total moment = 0.00 μB/cell; DOS(E_F) = 4.5 states/eV per cell; E_tot = -0.153 Ry/atom
1.0
7.5581 0.0000 0.0000
0.0000 4.3624 0.0000
-2.5080 0.0000 9.1836
K Hg Cl
4 2 2
Direct
0.2359 0.0000 0.2093 K
0.2641 0.5000 0.7907 K
0.7359 0.5000 0.2093 K
0.7641 0.0000 0.7907 K
0.0000 0.0000 0.5000 Hg
0.5000 0.5000 0.5000 Hg
0.0000 0.5000 0.0000 Cl
0.5000 0.0000 0.0000 Cl

---

[6]
PBE-GGA K2HgCl, optimized geometry; energy relative to the lowest polymorph listed for this composition = 0.0480 eV per atom; size of the total moment = 0.00 μB/cell; DOS(E_F) = 2.6 states/eV per cell; E_tot = -0.150 Ry/atom
1.0
4.2180 0.0000 0.0000
0.0000 4.2180 0.0000
0.0000 0.0000 9.6393
K Hg Cl
2 1 1
Direct
0.0000 0.0000 0.0000 K
0.5000 0.5000 0.4109 K
0.5000 0.5000 0.7886 Hg
0.0000 0.0000 0.3164 Cl

---

Question: size of the total moment of number 2 (KHgCl4)?
Answer: 0.00 μB/cell

---

Question: Which formula does entry 3 have?
Answer: K2HgCl

---

Question: Look up the energy relative to the lowest polymorph listed for this composition of the second one.
Answer: 0.0000 eV per atom